Er2ThGa after structural relaxation, computed with GGA-PBE.

Calculated values
DOS at the Fermi energy = 15.254 states/eV/cell
energy above the lowest structure with this stoichiometry = 0.45 eV/f.u.
energy of formation = -0.171 eV per atom
V = 28.03 Å³/atom
crystal system = trigonal

a = 3.5497 Å, b = 3.5497 Å, c = 30.8298 Å
α = 90.00°, β = 90.00°, γ = 120.00°
Space group R3m (No. 160, hexagonal axes)
One atom of each set of equivalent atoms:
Er: 0.0000 0.0000 0.0000 x3
Er: 0.0000 0.0000 0.1919 x3
Th: 0.0000 0.0000 0.4296 x3
Ga: 0.0000 0.0000 0.5956 x3

Er2ThGa2 after structural relaxation, computed with GGA-PBE.

Calculated values
DOS at the Fermi energy = 11.194 states/eV/cell
energy of formation = -0.289 eV per atom
V = 26.29 Å³/atom
crystal system = monoclinic

a = 5.4226 Å, b = 3.8785 Å, c = 12.6255 Å
α = 90.00°, β = 98.05°, γ = 90.00°
Space group P2_1/m (No. 11)
One atom of each set of equivalent atoms:
Er: 0.1581 0.2500 0.1087 x2
Er: 0.2603 0.7500 0.5331 x2
Th: 0.3051 0.2500 0.7688 x2
Ga: 0.2028 0.2500 0.3408 x2
Ga: 0.3558 0.7500 0.9671 x2

ErThGa6 after structural relaxation, computed with GGA-PBE.

Calculated values
DOS at the Fermi energy = 2.838 states/eV/cell
energy of formation = -0.513 eV per atom
V = 20.15 Å³/atom
crystal system = hexagonal

a = 6.3477 Å, b = 6.3477 Å, c = 4.6179 Å
α = 90.00°, β = 90.00°, γ = 120.00°
Space group P-6m2 (No. 187)
One atom of each set of equivalent atoms:
Er: 0.0000 0.0000 0.0000 x1
Th: 0.6667 0.3333 0.5000 x1
Ga: 0.0471 0.5235 0.0000 x3
Ga: 0.1849 0.3698 0.5000 x3

ErTh2Ga after structural relaxation, computed with GGA-PBE.

Calculated values
DOS at the Fermi energy = 5.884 states/eV/cell
energy above the lowest structure with this stoichiometry = 0.23 eV/f.u.
energy of formation = -0.122 eV per atom
V = 28.34 Å³/atom
crystal system = tetragonal

a = 3.9910 Å, b = 3.9910 Å, c = 7.1159 Å
α = 90.00°, β = 90.00°, γ = 90.00°
Space group P4/mmm (No. 123)
One atom of each set of equivalent atoms:
Er: 0.0000 0.0000 0.0000 x1
Th: 0.5000 0.5000 0.2840 x2
Ga: 0.0000 0.0000 0.5000 x1

ErThGa after structural relaxation, computed with GGA-PBE.

Calculated values
DOS at the Fermi energy = 6.497 states/eV/cell
energy above the lowest structure with this stoichiometry = 0.00 eV/f.u.
energy of formation = -0.280 eV per atom
V = 26.86 Å³/atom
crystal system = tetragonal

a = 3.5291 Å, b = 3.5291 Å, c = 12.9421 Å
α = 90.00°, β = 90.00°, γ = 90.00°
Space group I4mm (No. 107)
One atom of each set of equivalent atoms:
Er: 0.0000 0.0000 0.0000 x2
Th: 0.0000 0.0000 0.7050 x2
Ga: 0.0000 0.0000 0.3612 x2

Er3ThGa3 after structural relaxation, computed with GGA-PBE.

Calculated values
DOS at the Fermi energy = 12.389 states/eV/cell
energy of formation = -0.398 eV per atom
V = 24.81 Å³/atom
crystal system = hexagonal

a = 9.1382 Å, b = 9.1382 Å, c = 4.8028 Å
α = 90.00°, β = 90.00°, γ = 120.00°
Space group P6_3/m (No. 176)
One atom of each set of equivalent atoms:
Er: 0.0165 0.2545 0.2500 x6
Th: 0.3333 0.6667 0.7500 x2
Ga: 0.0652 0.6144 0.2500 x6

ErTh2Ga after structural relaxation, computed with GGA-PBE.

Calculated values
DOS at the Fermi energy = 15.352 states/eV/cell
energy above the lowest structure with this stoichiometry = 1.18 eV/f.u.
energy of formation = 0.117 eV per atom
V = 29.05 Å³/atom
crystal system = trigonal

a = 3.3899 Å, b = 3.3899 Å, c = 35.0220 Å
α = 90.00°, β = 90.00°, γ = 120.00°
Space group R-3m (No. 166, hexagonal axes)
One atom of each set of equivalent atoms:
Er: 0.0000 0.0000 0.0000 x3
Th: 0.0000 0.0000 0.0943 x6
Ga: 0.0000 0.0000 0.5000 x3

ErThGa after structural relaxation, computed with GGA-PBE.

Calculated values
DOS at the Fermi energy = 15.580 states/eV/cell
energy above the lowest structure with this stoichiometry = 1.34 eV/f.u.
energy of formation = 0.168 eV per atom
V = 32.77 Å³/atom
crystal system = tetragonal

a = 4.1356 Å, b = 4.1356 Å, c = 22.9935 Å
α = 90.00°, β = 90.00°, γ = 90.00°
Space group I4/mmm (No. 139)
One atom of each set of equivalent atoms:
Er: 0.0000 0.0000 0.0786 x4
Th: 0.0000 0.0000 0.3333 x4
Ga: 0.0000 0.0000 0.2049 x4